No. 1
Density functional theory data (PBE) for Rb3Ce3PtS8 after structural relaxation.

The structure in POSCAR format:
```
Rb3Ce3PtS8
1.0
-0.5901 -7.7972 -2.0939
7.2272 3.1865 1.7452
-5.5788 -1.4716 7.0520
Rb Ce Pt S
3 3 1 8
direct
0.0000 0.0000 0.0000
0.0000 0.5000 0.0000
0.5000 0.5000 0.0000
0.5000 0.0000 0.5000
0.5000 0.5000 0.5000
0.0000 0.5000 0.5000
0.0000 0.0000 0.5000
0.2674 0.5348 0.3026
0.7326 0.4652 0.6974
0.7916 0.5833 0.3242
0.2084 0.4167 0.6758
0.7847 0.0354 0.3193
0.2153 0.9646 0.6807
0.2507 0.0354 0.3193
0.7493 0.9646 0.6807
```

Properties
Symmetry: C2/m
Uncorrected formation energy (meV/atom): -1415



No. 2
Density functional theory data (PBE) for La4Nd3Rh4 after structural relaxation.

The structure in POSCAR format:
```
La4Nd3Rh4
1.0
4.7991 0.0000 0.0000
0.0000 7.7953 0.0000
-2.3996 -3.8976 7.8209
La Nd Rh
4 3 4
direct
0.3348 0.1158 0.6697
0.6652 0.4461 0.3303
0.6652 0.8842 0.3303
0.3348 0.5539 0.6697
0.0957 0.0957 0.1914
0.9043 0.9043 0.8086
0.0000 0.5000 0.0000
0.2038 0.7038 0.4076
0.7962 0.2962 0.5924
0.5000 0.8164 0.0000
0.5000 0.1836 0.0000
```

Properties
ΔE_f (kJ/mol of formula units): -538
Symmetry: Immm



| no. | ρ (g cm⁻³) |
| --- | --- |
| 1 | 4.2 |
| 2 | 7.9 |